Entry 1:
Computed, not measured: a relaxed structure of AcTmTl2 at the PBE level of DFT.

Unit cell a=3.878 b=3.878 c=8.123 alpha=90.00 beta=90.00 gamma=90.00
Space group P4/mmm (No. 123)
One atom of each set of equivalent atoms:
Ac (0.000, 0.000, 0.000)
Tm (0.000, 0.000, 0.500)
Tl (0.500, 0.500, 0.281)

Computed properties:
ΔH_f (0 K): -0.320 eV/atom
total DFT energy (no corrections): -0.1341 Ha/atom
total moment: 0.00 μB per formula unit

---

Entry 2:
Computed, not measured: a relaxed structure of Ac3TmTl2 at the PBE level of DFT.

Unit cell a=7.123 b=17.445 c=7.093 alpha=90.00 beta=90.00 gamma=90.00
Space group Ibam (No. 72)
One atom of each set of equivalent atoms:
Ac (0.000, 0.000, 0.250)
Ac (0.250, 0.177, 0.000)
Tm (0.000, 0.500, 0.250)
Tl (0.228, 0.372, 0.000)

Computed properties:
ΔH_f (0 K): -0.203 eV/atom
total DFT energy (no corrections): -0.1393 Ha/atom
total moment: 0.89 μB per formula unit

---

Entry 3:
Computed, not measured: a relaxed structure of AcTm2Tl at the PBE level of DFT.

Unit cell a=5.027 b=5.027 c=4.981 alpha=90.00 beta=90.00 gamma=90.00
Space group P4/mmm (No. 123)
One atom of each set of equivalent atoms:
Ac (0.000, 0.000, 0.000)
Tm (0.000, 0.500, 0.500)
Tl (0.500, 0.500, 0.000)

Computed properties:
ΔH_f (0 K): -0.077 eV/atom
total DFT energy (no corrections): -0.1445 Ha/atom
total moment: 0.73 μB per formula unit

---

Entry 4:
Computed, not measured: a relaxed structure of Ac2TmTl at the PBE level of DFT.

Unit cell a=3.7909 b=3.7909 c=38.5208 alpha=90.00 beta=90.00 gamma=120.00
Space group R-3m (No. 166, hexagonal axes)
One atom of each set of equivalent atoms:
Ac (0.0000, 0.0000, 0.0901)
Tm (0.0000, 0.0000, 0.5000)
Tl (0.0000, 0.0000, 0.0000)

Computed properties:
ΔH_f (0 K): 0.134 eV/atom
total DFT energy (no corrections): -0.1334 Ha/atom
total moment: 0.00 μB per formula unit

---

Entry 5:
Computed, not measured: a relaxed structure of AcTmTl at the PBE level of DFT.

Unit cell a=6.982 b=6.982 c=8.434 alpha=90.00 beta=90.10 gamma=90.00
Space group C2/m (No. 12)
One atom of each set of equivalent atoms:
Ac (0.249, 0.000, 0.149)
Tm (0.000, 0.250, 0.500)
Tl (0.249, 0.500, 0.260)

Computed properties:
ΔH_f (0 K): -0.250 eV/atom
total DFT energy (no corrections): -0.1433 Ha/atom
total moment: 0.95 μB per formula unit

---

Entry 6:
Computed, not measured: a relaxed structure of AcTmTl at the PBE level of DFT.

Unit cell a=7.675 b=7.675 c=7.675 alpha=90.00 beta=90.00 gamma=90.00
Space group F-43m (No. 216)
One atom of each set of equivalent atoms:
Ac (0.000, 0.000, 0.000)
Tm (0.000, 0.000, 0.500)
Tl (0.250, 0.250, 0.750)

Computed properties:
ΔH_f (0 K): 0.014 eV/atom
total DFT energy (no corrections): -0.1336 Ha/atom
total moment: 0.00 μB per formula unit

---

Entry 7:
Computed, not measured: a relaxed structure of Ac5TmTl4 at the PBE level of DFT.

Unit cell a=3.981 b=3.981 c=22.695 alpha=90.00 beta=90.00 gamma=90.00
Space group P4/mmm (No. 123)
One atom of each set of equivalent atoms:
Ac (0.000, 0.000, 0.000)
Ac (0.000, 0.000, 0.198)
Ac (0.000, 0.000, 0.393)
Tm (0.500, 0.500, 0.500)
Tl (0.500, 0.500, 0.100)
Tl (0.500, 0.500, 0.296)

Computed properties:
ΔH_f (0 K): -0.253 eV/atom
total DFT energy (no corrections): -0.1360 Ha/atom
total moment: 0.00 μB per formula unit

---

Entry 8:
Computed, not measured: a relaxed structure of AcTmTl6 at the PBE level of DFT.

Unit cell a=4.898 b=4.898 c=9.711 alpha=90.00 beta=90.00 gamma=90.00
Space group P4/mmm (No. 123)
One atom of each set of equivalent atoms:
Ac (0.000, 0.000, 0.000)
Tm (0.000, 0.000, 0.500)
Tl (0.000, 0.500, 0.263)
Tl (0.500, 0.500, 0.000)
Tl (0.500, 0.500, 0.500)

Computed properties:
ΔH_f (0 K): -0.244 eV/atom
total DFT energy (no corrections): -0.1136 Ha/atom
total moment: 0.00 μB per formula unit

---

Entry 9:
Computed, not measured: a relaxed structure of Ac2TmTl at the PBE level of DFT.

Unit cell a=3.999 b=3.999 c=9.271 alpha=90.00 beta=90.00 gamma=90.00
Space group P4/mmm (No. 123)
One atom of each set of equivalent atoms:
Ac (0.000, 0.000, 0.237)
Tm (0.500, 0.500, 0.500)
Tl (0.500, 0.500, 0.000)

Computed properties:
ΔH_f (0 K): -0.091 eV/atom
total DFT energy (no corrections): -0.1416 Ha/atom
total moment: 0.00 μB per formula unit

---

Entry 10:
Computed, not measured: a relaxed structure of AcTm2Tl at the PBE level of DFT.

Unit cell a=3.708 b=3.708 c=9.236 alpha=90.00 beta=90.00 gamma=90.00
Space group P4/mmm (No. 123)
One atom of each set of equivalent atoms:
Ac (0.000, 0.000, 0.000)
Tm (0.500, 0.500, 0.287)
Tl (0.000, 0.000, 0.500)

Computed properties:
ΔH_f (0 K): -0.132 eV/atom
total DFT energy (no corrections): -0.1465 Ha/atom
total moment: 0.00 μB per formula unit

---

Entry 11:
Computed, not measured: a relaxed structure of AcTmTl at the PBE level of DFT.

Unit cell a=3.807 b=3.807 c=13.785 alpha=90.00 beta=90.00 gamma=90.00
Space group I4mm (No. 107)
One atom of each set of equivalent atoms:
Ac (0.000, 0.000, 0.000)
Tm (0.000, 0.000, 0.306)
Tl (0.000, 0.000, 0.676)

Computed properties:
ΔH_f (0 K): -0.181 eV/atom
total DFT energy (no corrections): -0.1408 Ha/atom
total moment: 0.00 μB per formula unit

---

Entry 12:
Computed, not measured: a relaxed structure of Ac3TmTl2 at the PBE level of DFT.

Unit cell a=4.925 b=5.096 c=17.719 alpha=90.00 beta=90.00 gamma=90.00
Space group Immm (No. 71)
One atom of each set of equivalent atoms:
Ac (0.000, 0.000, 0.000)
Ac (0.000, 0.500, 0.323)
Tm (0.000, 0.000, 0.500)
Tl (0.000, 0.500, 0.131)

Computed properties:
ΔH_f (0 K): -0.209 eV/atom
total DFT energy (no corrections): -0.1395 Ha/atom
total moment: 0.00 μB per formula unit